Record 1
Density functional theory data (PBEsol) for an optimized crystal structure of Y4Al23Ni6.

```
Y4Al23Ni6
1.0
7.849 -2.017 0.000
7.849 2.017 0.000
-7.040 0.000 16.738
Y Al Ni
4 23 6
direct
0.073 0.073 0.407 Y
0.235 0.235 0.781 Y
0.765 0.765 0.219 Y
0.927 0.927 0.593 Y
0.032 0.032 0.781 Al
0.066 0.066 0.940 Al
0.111 0.111 0.164 Al
0.122 0.122 0.595 Al
0.227 0.227 0.325 Al
0.244 0.244 0.954 Al
0.300 0.300 0.480 Al
0.355 0.355 0.143 Al
0.409 0.409 0.718 Al
0.410 0.410 0.947 Al
0.419 0.419 0.314 Al
0.500 0.500 0.500 Al
0.581 0.581 0.686 Al
0.590 0.590 0.053 Al
0.591 0.591 0.282 Al
0.645 0.645 0.857 Al
0.700 0.700 0.520 Al
0.756 0.756 0.046 Al
0.773 0.773 0.675 Al
0.878 0.878 0.405 Al
0.889 0.889 0.836 Al
0.934 0.934 0.060 Al
0.968 0.968 0.219 Al
0.189 0.189 0.068 Ni
0.272 0.272 0.601 Ni
0.492 0.492 0.861 Ni
0.508 0.508 0.139 Ni
0.728 0.728 0.399 Ni
0.811 0.811 0.932 Ni
```

* mass density: 4.16 g/cm3
* total magnetic moment: 0.000 Bohr magnetons per cell
* symmetry: C2/m
* final energy: -0.1958 hartree per atom

=====

Record 2
Density functional theory data (PBEsol) for an optimized crystal structure of Cu2HgMo.

```
Cu2HgMo
1.0
1.383 0.798 8.973
-1.383 0.798 8.973
0.000 -1.597 8.973
Cu Hg Mo
2 1 1
direct
0.246 0.246 0.246 Cu
0.754 0.754 0.754 Cu
0.000 0.000 0.000 Hg
0.500 0.500 0.500 Mo
```

* mass density: 11.84 g/cm3
* total magnetic moment: 0.000 Bohr magnetons per cell
* symmetry: R-3m
* final energy: -0.1797 hartree per atom

=====

Record 3
Density functional theory data (PBEsol) for an optimized crystal structure of KYRu2.

```
KYRu2
1.0
-1.588 2.476 4.730
1.588 -2.476 4.730
1.588 2.476 -4.730
K Y Ru
1 1 2
direct
0.000 0.000 0.000 K
0.500 0.500 0.000 Y
0.262 0.762 0.500 Ru
0.738 0.238 0.500 Ru
```

* mass density: 7.37 g/cm3
* total magnetic moment: 0.001 Bohr magnetons per cell
* symmetry: Immm
* final energy: -0.2242 hartree per atom

=====

Record 4
Density functional theory data (PBEsol) for an optimized crystal structure of ScMoAu2.

```
ScMoAu2
1.0
4.828 -1.412 0.000
4.828 1.412 0.000
-0.810 0.000 5.002
Sc Mo Au
1 1 2
direct
0.000 0.000 0.000 Sc
0.500 0.500 0.500 Mo
0.244 0.244 0.742 Au
0.756 0.756 0.258 Au
```

* mass density: 13.03 g/cm3
* total magnetic moment: 0.000 Bohr magnetons per cell
* symmetry: C2/m
* final energy: -0.2409 hartree per atom

=====

Record 5
Density functional theory data (PBEsol) for an optimized crystal structure of CuPt.

```
CuPt
1.0
3.718 -5.337 0.000
3.718 5.337 0.000
0.000 0.000 2.698
Cu Pt
4 4
direct
0.118 0.882 0.000 Cu
0.238 0.238 0.500 Cu
0.762 0.762 0.500 Cu
0.882 0.118 0.000 Cu
0.000 0.500 0.500 Pt
0.378 0.622 0.000 Pt
0.500 0.000 0.500 Pt
0.622 0.378 0.000 Pt
```

* mass density: 16.04 g/cm3
* total magnetic moment: 0.000 Bohr magnetons per cell
* symmetry: Cmmm
* final energy: -0.2105 hartree per atom

=====

Record 6
Density functional theory data (PBEsol) for an optimized crystal structure of DyCuSe2.

```
DyCuSe2
1.0
4.028 0.000 0.000
-2.014 3.489 0.000
0.000 0.000 6.303
Dy Cu Se
1 1 2
direct
0.000 0.000 0.000 Dy
0.333 0.667 0.376 Cu
0.333 0.667 0.758 Se
0.667 0.333 0.274 Se
```

* formation energy (no corrections): -117 kJ per mole of atoms
* mass density: 7.20 g/cm3
* total magnetic moment: 0.000 Bohr magnetons per cell
* symmetry: P3m1

=====

Record 7
Density functional theory data (PBEsol) for an optimized crystal structure of CaFeSi4O10.

```
CaFeSi4O10
1.0
7.369 0.000 0.000
0.000 7.369 0.000
0.000 0.000 15.219
Ca Fe Si O
4 4 16 40
direct
0.250 0.750 0.000 Ca
0.250 0.750 0.500 Ca
0.750 0.250 0.000 Ca
0.750 0.250 0.500 Ca
0.250 0.250 0.078 Fe
0.250 0.250 0.578 Fe
0.750 0.750 0.422 Fe
0.750 0.750 0.922 Fe
0.001 0.077 0.353 Si
0.001 0.423 0.853 Si
0.077 0.001 0.853 Si
0.077 0.499 0.353 Si
0.423 0.001 0.353 Si
0.423 0.499 0.853 Si
0.499 0.077 0.853 Si
0.499 0.423 0.353 Si
0.501 0.577 0.647 Si
0.501 0.923 0.147 Si
0.577 0.501 0.147 Si
0.577 0.999 0.647 Si
0.923 0.501 0.647 Si
0.923 0.999 0.147 Si
0.999 0.577 0.147 Si
0.999 0.923 0.647 Si
0.002 0.704 0.626 O
0.002 0.796 0.126 O
0.003 0.149 0.081 O
0.003 0.351 0.581 O
0.043 0.543 0.250 O
0.043 0.957 0.750 O
0.149 0.003 0.581 O
0.149 0.497 0.081 O
0.204 0.502 0.874 O
0.204 0.998 0.374 O
0.296 0.502 0.374 O
0.296 0.998 0.874 O
0.351 0.003 0.081 O
0.351 0.497 0.581 O
0.457 0.543 0.750 O
0.457 0.957 0.250 O
0.497 0.149 0.581 O
0.497 0.351 0.081 O
0.498 0.704 0.126 O
0.498 0.796 0.626 O
0.502 0.204 0.374 O
0.502 0.296 0.874 O
0.503 0.649 0.919 O
0.503 0.851 0.419 O
0.543 0.043 0.750 O
0.543 0.457 0.250 O
0.649 0.503 0.419 O
0.649 0.997 0.919 O
0.704 0.002 0.126 O
0.704 0.498 0.626 O
0.796 0.002 0.626 O
0.796 0.498 0.126 O
0.851 0.503 0.919 O
0.851 0.997 0.419 O
0.957 0.043 0.250 O
0.957 0.457 0.750 O
0.997 0.649 0.419 O
0.997 0.851 0.919 O
0.998 0.204 0.874 O
0.998 0.296 0.374 O
```

* formation energy (no corrections): -252 kJ per mole of atoms
* mass density: 2.96 g/cm3
* total magnetic moment: 16.009 Bohr magnetons per cell
* symmetry: P4/ncc

=====

Record 8
Density functional theory data (PBEsol) for an optimized crystal structure of AcPrMg2.

```
AcPrMg2
1.0
0.000 3.960 3.960
3.960 0.000 3.960
3.960 3.960 0.000
Ac Pr Mg
1 1 2
direct
0.000 0.000 0.000 Ac
0.500 0.500 0.500 Pr
0.250 0.250 0.250 Mg
0.750 0.750 0.750 Mg
```

* mass density: 5.57 g/cm3
* total magnetic moment: 0.000 Bohr magnetons per cell
* symmetry: Fm-3m
* final energy: -0.1235 hartree per atom

=====

Record 9
Density functional theory data (PBEsol) for an optimized crystal structure of MnZn2Re.

```
MnZn2Re
1.0
2.642 -3.934 0.000
2.642 3.934 0.000
0.000 0.000 2.594
Mn Zn Re
1 2 1
direct
0.000 0.000 0.000 Mn
0.000 0.500 0.500 Zn
0.500 0.000 0.500 Zn
0.500 0.500 0.000 Re
```

* mass density: 11.45 g/cm3
* total magnetic moment: 3.343 Bohr magnetons per cell
* symmetry: Cmmm
* final energy: -0.2334 hartree per atom

=====

Record 10
Density functional theory data (PBEsol) for an optimized crystal structure of Fe2BPb.

```
Fe2BPb
1.0
0.000 2.888 2.888
2.888 0.000 2.888
2.888 2.888 0.000
Fe B Pb
2 1 1
direct
0.250 0.250 0.250 Fe
0.750 0.750 0.750 Fe
0.000 0.000 0.000 B
0.500 0.500 0.500 Pb
```

* mass density: 11.37 g/cm3
* total magnetic moment: 0.152 Bohr magnetons per cell
* symmetry: Fm-3m
* final energy: -0.2298 hartree per atom

=====

Record 11
Density functional theory data (PBEsol) for an optimized crystal structure of LiMnMo2.

```
LiMnMo2
1.0
1.535 -2.131 0.000
1.535 2.131 0.000
0.000 0.000 8.835
Li Mn Mo
1 1 2
direct
0.000 0.000 0.000 Li
0.500 0.500 0.749 Mn
0.000 0.000 0.525 Mo
0.500 0.500 0.271 Mo
```

* mass density: 7.29 g/cm3
* total magnetic moment: 1.996 Bohr magnetons per cell
* symmetry: Cmm2
* final energy: -0.3113 hartree per atom

=====

Record 12
Density functional theory data (PBEsol) for an optimized crystal structure of SrAl2Ag.

```
SrAl2Ag
1.0
0.000 3.485 3.485
3.485 0.000 3.485
3.485 3.485 0.000
Sr Al Ag
1 2 1
direct
0.000 0.000 0.000 Sr
0.250 0.250 0.250 Al
0.500 0.500 0.500 Al
0.750 0.750 0.750 Ag
```

* mass density: 4.89 g/cm3
* total magnetic moment: 0.000 Bohr magnetons per cell
* symmetry: F-43m
* final energy: -0.1246 hartree per atom